Material: PmPrSm2N4
Method: DFT, PBE
State: optimized geometry

Structure (POSCAR):
```
PmPrSm2N4
1.0
-2.6787 -2.2854 -0.8489
3.1916 -4.7153 2.6232
-3.6646 2.6920 4.3168
N Sm Pm Pr
4 2 1 1
Direct
0.0000 0.7537 0.2548 N
0.5000 0.2489 0.2530 N
0.5000 0.7511 0.7470 N
0.0000 0.2463 0.7452 N
0.5000 0.0000 0.5000 Sm
0.0000 0.5000 0.5000 Sm
0.0000 0.0000 0.0000 Pm
0.5000 0.5000 0.0000 Pr
```

As for the density of states at the Fermi level: 0.52 states/eV per cell. The total energy comes out at -7.95 eV per atom. Its uncorrected formation energy is -137 kJ/mol of atoms. The space group is P2/m (10). The volume is 134.3 Å³/cell.